[1]
# Sc3Pd5Pt GGA-PBE optimized geometry
data_Sc3Pd5Pt
_chemical_formula_sum 'Sc6 Pd10 Pt2'
_cell_length_a 5.572
_cell_length_b 7.924
_cell_length_c 7.925
_cell_angle_alpha 120.00
_cell_angle_beta 90.00
_cell_angle_gamma 90.00
_symmetry_space_group_name_H-M 'P 1'
_symmetry_Int_Tables_number 1
loop_
_symmetry_equiv_pos_as_xyz
'x,y,z'
loop_
_atom_site_label
_atom_site_type_symbol
_atom_site_fract_x
_atom_site_fract_y
_atom_site_fract_z
_atom_site_occupancy
Sc1 Sc 0.250 0.677 0.677 1
Sc2 Sc 0.250 0.323 0.000 1
Sc3 Sc 0.250 0.000 0.323 1
Sc4 Sc 0.750 0.677 0.000 1
Sc5 Sc 0.750 0.000 0.677 1
Sc6 Sc 0.750 0.323 0.323 1
Pd1 Pd 0.500 0.667 0.333 1
Pd2 Pd 0.750 0.344 0.000 1
Pd3 Pd 0.750 0.000 0.344 1
Pd4 Pd 0.000 0.333 0.667 1
Pd5 Pd 0.250 0.344 0.344 1
Pd6 Pd 0.250 0.000 0.656 1
Pd7 Pd 0.250 0.656 0.000 1
Pd8 Pd 0.500 0.333 0.667 1
Pd9 Pd 0.750 0.656 0.656 1
Pd10 Pd 0.000 0.667 0.333 1
Pt1 Pt 0.500 0.000 0.000 1
Pt2 Pt 0.000 0.000 0.000 1
# - E (eV/cell) = -118.500

***

[2]
# Sc5Pd2Pt2 GGA-PBE optimized geometry
data_Sc5Pd2Pt2
_chemical_formula_sum 'Sc10 Pd4 Pt4'
_cell_length_a 7.018
_cell_length_b 6.882
_cell_length_c 8.126
_cell_angle_alpha 115.05
_cell_angle_beta 90.00
_cell_angle_gamma 90.00
_symmetry_space_group_name_H-M 'P 1'
_symmetry_Int_Tables_number 1
loop_
_symmetry_equiv_pos_as_xyz
'x,y,z'
loop_
_atom_site_label
_atom_site_type_symbol
_atom_site_fract_x
_atom_site_fract_y
_atom_site_fract_z
_atom_site_occupancy
Pt1 Pt 0.638 0.864 0.000 1
Pt2 Pt 0.362 0.136 0.000 1
Pt3 Pt 0.138 0.636 0.000 1
Pt4 Pt 0.862 0.364 0.000 1
Pd1 Pd 0.500 0.288 0.577 1
Pd2 Pd 0.000 0.788 0.577 1
Pd3 Pd 0.000 0.212 0.423 1
Pd4 Pd 0.500 0.712 0.423 1
Sc1 Sc 0.327 0.964 0.277 1
Sc2 Sc 0.827 0.813 0.277 1
Sc3 Sc 0.000 0.000 0.000 1
Sc4 Sc 0.500 0.500 0.000 1
Sc5 Sc 0.673 0.313 0.277 1
Sc6 Sc 0.673 0.036 0.723 1
Sc7 Sc 0.173 0.187 0.723 1
Sc8 Sc 0.827 0.536 0.723 1
Sc9 Sc 0.327 0.687 0.723 1
Sc10 Sc 0.173 0.464 0.277 1
# - E (eV/cell) = -124.830

***

[3]
# ScPdPt3 GGA-PBE optimized geometry
data_ScPdPt3
_chemical_formula_sum 'Sc1 Pd1 Pt3'
_cell_length_a 4.737
_cell_length_b 4.737
_cell_length_c 4.737
_cell_angle_alpha 90.00
_cell_angle_beta 90.00
_cell_angle_gamma 90.00
_symmetry_space_group_name_H-M 'P 1'
_symmetry_Int_Tables_number 1
loop_
_symmetry_equiv_pos_as_xyz
'x,y,z'
loop_
_atom_site_label
_atom_site_type_symbol
_atom_site_fract_x
_atom_site_fract_y
_atom_site_fract_z
_atom_site_occupancy
Sc1 Sc 0.000 0.000 0.000 1
Pt1 Pt 0.000 0.000 0.500 1
Pt2 Pt 0.500 0.000 0.000 1
Pt3 Pt 0.000 0.500 0.000 1
Pd1 Pd 0.500 0.500 0.500 1
# - relative energy among the computed polymorphs (meV per atom) = 1291.3
# - E (eV/cell) = -26.085